## La3HfI (PBE)

Data for a relaxed La3HfI crystal.

The crystal system is cubic. The value obtained for the formation energy from raw total energies is 0.283 eV per atom. The density of states at the Fermi level is 31.54 states/eV/f.u. The volume comes out at 200.1 Å³ per cell. The calculation puts the calculated density at 5.994 g cm⁻³.

The structure belongs to space group Pm-3m (No. 221); the cell edges are 5.849, 5.849 and 5.849 Å and the angles 90.00°, 90.00° and 90.00°. The asymmetric unit holds La at (0.000, 0.000, 0.500), Hf at (0.000, 0.000, 0.000) and I at (0.500, 0.500, 0.500).